A plane-wave DFT calculation with PBE+U was carried out for a relaxed structure of Li2Co3TeO8.

Results
Spin magnetization   8.98 μB/cell
Space group   P-1
VASP energy   -0.4149 Ry per atom

a b c (Å): 5.975 6.031 6.059
angles (deg): 91.53 118.86 119.06
Each line ends with the local moment (μB).
Fractional coordinates of all 14 atoms:
O 0.005 0.246 0.789  0.06
O 0.987 0.226 0.219  0.11
O 0.439 0.705 0.192  0.21
O 0.561 0.295 0.808  0.21
O 0.456 0.234 0.225  0.12
O 0.995 0.754 0.211  0.06
O 0.013 0.774 0.781  0.11
O 0.544 0.766 0.775  0.12
Te 0.000 0.000 0.000  -0.01
Li 0.500 0.000 0.500  0.01
Li 0.500 0.500 0.500  0.01
Co 0.000 0.500 0.000  1.92
Co 0.500 0.500 0.000  3.07
Co 0.500 0.000 0.000  2.75